# 1
Below is a relaxed NdEr2Sb3 crystal, with properties calculated at the GGA-PBE level. Values from VASP.

```
&SYSTEM
  ibrav = 0, nat = 6, ntyp = 3
/
ATOMIC_SPECIES
Sb 121.76 Sb.upf
Er 167.26 Er.upf
Nd 144.24 Nd.upf
ATOMIC_POSITIONS crystal
Sb 0.3333 0.6667 0.3241
Sb 0.0000 0.0000 0.0000
Sb 0.6667 0.3333 0.6759
Er 0.3333 0.6667 0.8373
Er 0.6667 0.3333 0.1627
Nd 0.0000 0.0000 0.5000
CELL_PARAMETERS angstrom
-1.3472 0.5435 4.1577
-0.8281 -3.7776 -2.1072
9.3672 -4.0412 3.5634
```

crystal system	trigonal
E_tot	-33.0	eV/cell
calculated density	7.721	g/cm3
total magnetization	0.013	Bohr magnetons per cell
space group	No. 164

# 2
Below is a relaxed ZnFeSnOs crystal, with properties calculated at the GGA-PBE level. Values from VASP.

```
&SYSTEM
  ibrav = 0, nat = 4, ntyp = 4
/
ATOMIC_SPECIES
Fe 55.84 Fe.upf
Os 190.23 Os.upf
Sn 118.71 Sn.upf
Zn 65.41 Zn.upf
ATOMIC_POSITIONS crystal
Fe 0.7500 0.7500 0.7500
Os 0.2500 0.2500 0.2500
Sn 0.0000 0.0000 0.0000
Zn 0.5000 0.5000 0.5000
CELL_PARAMETERS angstrom
0.0000 3.0977 3.0977
3.0977 0.0000 3.0977
3.0977 3.0977 0.0000
```

crystal system	cubic
E_tot	-23.6	eV/cell
calculated density	12.016	g/cm3
total magnetization	1.485	Bohr magnetons per cell
space group	No. 216
offset from the most stable computed form	0.000	eV per atom

# 3
Below is a relaxed GdCuGeSeS2 crystal, with properties calculated at the GGA-PBE level. Values from VASP.

```
&SYSTEM
  ibrav = 0, nat = 12, ntyp = 5
/
ATOMIC_SPECIES
Se 78.96 Se.upf
Cu 63.55 Cu.upf
S 32.06 S.upf
Gd 157.25 Gd.upf
Ge 72.64 Ge.upf
ATOMIC_POSITIONS crystal
Se 0.9024 0.0976 0.7500
Se 0.0976 0.9024 0.2500
Cu 0.5285 0.4715 0.7500
Cu 0.4715 0.5285 0.2500
S 0.6416 0.3584 0.5787
S 0.3584 0.6416 0.4213
S 0.6416 0.3584 0.9213
S 0.3584 0.6416 0.0787
Gd 0.0000 0.0000 0.0000
Gd 0.0000 0.0000 0.5000
Ge 0.7845 0.2155 0.2500
Ge 0.2155 0.7845 0.7500
CELL_PARAMETERS angstrom
1.7636 1.1225 -6.2967
-4.7641 0.5350 4.5866
3.7019 9.5228 2.7344
```

crystal system	orthorhombic
E_tot	-60.1	eV/cell
calculated density	5.633	g/cm3
total magnetization	0.015	Bohr magnetons per cell
space group	No. 63

# 4
Below is a relaxed ErTmCo2 crystal, with properties calculated at the GGA-PBE level. Values from VASP.

```
&SYSTEM
  ibrav = 0, nat = 8, ntyp = 3
/
ATOMIC_SPECIES
Co 58.93 Co.upf
Er 167.26 Er.upf
Tm 168.93 Tm.upf
ATOMIC_POSITIONS crystal
Co 0.0000 0.3512 0.9720
Co 0.0000 0.6488 0.4720
Co 0.5000 0.1459 0.0284
Co 0.5000 0.8541 0.5284
Er 0.5000 0.6313 0.1776
Er 0.5000 0.3687 0.6776
Tm 0.0000 0.8690 0.8220
Tm 0.0000 0.1310 0.3219
CELL_PARAMETERS angstrom
-1.4859 1.4925 -3.2014
-4.8144 -2.2546 1.1834
-1.9085 6.0113 3.6883
```

crystal system	orthorhombic
E_tot	-48.5	eV/cell
ΔE_f	-0.248	eV/atom
calculated density	9.889	g/cm3
total magnetization	0.015	Bohr magnetons per cell
space group	No. 26

# 5
Below is a relaxed SiAs2Au crystal, with properties calculated at the GGA-PBE level. Values from VASP.

```
&SYSTEM
  ibrav = 0, nat = 4, ntyp = 3
/
ATOMIC_SPECIES
As 74.92 As.upf
Si 28.09 Si.upf
Au 196.97 Au.upf
ATOMIC_POSITIONS crystal
As 0.7500 0.7500 0.7500
As 0.0000 0.0000 0.0000
Si 0.5000 0.5000 0.5000
Au 0.2500 0.2500 0.2500
CELL_PARAMETERS angstrom
2.7942 -0.0038 3.7768
0.9271 4.0242 2.2402
-1.8113 0.7866 4.2629
```

crystal system	cubic
E_tot	-16.2	eV/cell
calculated density	8.490	g/cm3
space group	No. 216

# 6
Below is a relaxed LuNiSbPt crystal, with properties calculated at the GGA-PBE level. Values from VASP.

```
&SYSTEM
  ibrav = 0, nat = 4, ntyp = 4
/
ATOMIC_SPECIES
Sb 121.76 Sb.upf
Pt 195.08 Pt.upf
Ni 58.69 Ni.upf
Lu 174.97 Lu.upf
ATOMIC_POSITIONS crystal
Sb 0.0000 0.0000 0.0000
Pt 0.2500 0.2500 0.2500
Ni 0.7500 0.7500 0.7500
Lu 0.5000 0.5000 0.5000
CELL_PARAMETERS angstrom
0.0000 3.3136 3.3136
3.3136 0.0000 3.3136
3.3136 3.3136 0.0000
```

crystal system	cubic
E_tot	-22.9	eV/cell
calculated density	12.563	g/cm3
total magnetization	0.001	Bohr magnetons per cell
space group	No. 216
offset from the most stable computed form	0.000	eV per atom

# 7
Below is a relaxed Zn2As2O7 crystal, with properties calculated at the GGA-PBE level. Values from VASP.

```
&SYSTEM
  ibrav = 0, nat = 66, ntyp = 3
/
ATOMIC_SPECIES
Zn 65.41 Zn.upf
O 16.00 O.upf
As 74.92 As.upf
ATOMIC_POSITIONS crystal
Zn 0.6308 0.0091 0.8005
Zn 0.0091 0.6308 0.3005
Zn 0.6763 0.2996 0.4698
Zn 0.3237 0.7004 0.5302
Zn 0.3692 0.9909 0.1995
Zn 0.9746 0.3554 0.1665
Zn 0.9909 0.3692 0.6995
Zn 0.3554 0.9746 0.6665
Zn 0.0254 0.6446 0.8335
Zn 0.7004 0.3237 0.0302
Zn 0.6446 0.0254 0.3335
Zn 0.2996 0.6763 0.9698
O 0.2608 0.9138 0.4821
O 0.7392 0.0862 0.5179
O 0.5772 0.2440 0.2928
O 0.9328 0.5773 0.6468
O 0.4856 0.4584 0.6070
O 0.1979 0.2128 0.5789
O 0.1342 0.1318 0.7757
O 0.5807 0.8995 0.6258
O 0.4584 0.4856 0.1070
O 0.0672 0.4227 0.3532
O 0.7129 0.6049 0.4534
O 0.5144 0.5416 0.3930
O 0.4193 0.1005 0.3742
O 0.4227 0.0672 0.8532
O 0.2121 0.9049 0.9585
O 0.5548 0.2288 0.7823
O 0.0863 0.9137 0.2500
O 0.2440 0.5772 0.7928
O 0.7872 0.8021 0.9211
O 0.3951 0.2871 0.0466
O 0.1005 0.4193 0.8742
O 0.7560 0.4228 0.2072
O 0.4452 0.7712 0.2177
O 0.8682 0.8658 0.7243
O 0.5416 0.5144 0.8930
O 0.0862 0.7392 0.0179
O 0.7879 0.0951 0.0415
O 0.0951 0.7879 0.5415
O 0.9138 0.2608 0.9821
O 0.5773 0.9328 0.1468
O 0.4228 0.7560 0.7072
O 0.6049 0.7129 0.9534
O 0.8995 0.5807 0.1258
O 0.9137 0.0863 0.7500
O 0.7712 0.4452 0.7177
O 0.2288 0.5548 0.2823
O 0.8658 0.8682 0.2243
O 0.9049 0.2121 0.4585
O 0.2871 0.3951 0.5466
O 0.8021 0.7872 0.4211
O 0.2128 0.1979 0.0789
O 0.1318 0.1342 0.2757
As 0.7586 0.7264 0.5397
As 0.7264 0.7586 0.0397
As 0.4059 0.4044 0.6923
As 0.4044 0.4059 0.1923
As 0.2736 0.2414 0.9603
As 0.5956 0.5941 0.8077
As 0.9428 0.9154 0.1275
As 0.0572 0.0846 0.8725
As 0.9154 0.9428 0.6275
As 0.0846 0.0572 0.3725
As 0.5941 0.5956 0.3077
As 0.2414 0.2736 0.4603
CELL_PARAMETERS angstrom
10.0525 -4.2256 0.0000
10.0525 4.2256 0.0000
-1.9126 0.0000 9.4600
```

crystal system	monoclinic
E_tot	-363.5	eV/cell
calculated density	4.868	g/cm3
space group	No. 15

# 8
Below is a relaxed Ni15Sn crystal, with properties calculated at the GGA-PBE level. Values from VASP.

```
&SYSTEM
  ibrav = 0, nat = 32, ntyp = 2
/
ATOMIC_SPECIES
Ni 58.69 Ni.upf
Sn 118.71 Sn.upf
ATOMIC_POSITIONS crystal
Ni 0.0000 0.5185 0.0000
Ni 0.0000 0.3715 0.0000
Ni 0.0000 0.4081 0.5000
Ni 0.0000 0.3337 0.5000
Ni 0.5000 0.5552 0.0000
Ni 0.5000 0.3711 0.5000
Ni 0.5000 0.6660 0.5000
Ni 0.0000 0.6660 0.0000
Ni 0.5000 0.2598 0.0000
Ni 0.5000 0.2974 0.5000
Ni 0.0000 0.2598 0.5000
Ni 0.5000 0.4817 0.0000
Ni 0.0000 0.6289 0.5000
Ni 0.0000 0.7026 0.5000
Ni 0.5000 0.7751 0.0000
Ni 0.5000 0.2248 0.5000
Ni 0.5000 0.7025 0.0000
Ni 0.0000 0.4817 0.5000
Ni 0.0000 0.7402 0.0000
Ni 0.5000 0.5919 0.5000
Ni 0.5000 0.5184 0.5000
Ni 0.5000 0.6293 0.0000
Ni 0.5000 0.4448 0.5000
Ni 0.0000 0.2972 0.0000
Ni 0.0000 0.4449 0.0000
Ni 0.5000 0.7402 0.5000
Ni 0.5000 0.4081 0.0000
Ni 0.0000 0.5551 0.5000
Ni 0.0000 0.5919 0.0000
Ni 0.5000 0.3338 0.0000
Sn 0.0000 0.7885 0.5000
Sn 0.0000 0.2114 0.0000
CELL_PARAMETERS angstrom
4.2726 0.0000 0.0000
0.0000 33.4837 0.0000
-1.3792 0.0000 4.0440
```

crystal system	monoclinic
E_tot	-173.5	eV/cell
calculated density	5.735	g/cm3
total magnetization	11.092	Bohr magnetons per cell
space group	No. 3
offset from the most stable computed form	0.017	eV per atom

# 9
Below is a relaxed PmHfSb crystal, with properties calculated at the GGA-PBE level. Values from VASP.

```
&SYSTEM
  ibrav = 0, nat = 3, ntyp = 3
/
ATOMIC_SPECIES
Pm 145.00 Pm.upf
Hf 178.49 Hf.upf
Sb 121.76 Sb.upf
ATOMIC_POSITIONS crystal
Pm 0.7500 0.7500 0.7500
Hf 0.2500 0.2500 0.2500
Sb 0.0000 0.0000 0.0000
CELL_PARAMETERS angstrom
0.0000 3.5029 3.5029
3.5029 0.0000 3.5029
3.5029 3.5029 0.0000
```

crystal system	cubic
E_tot	-19.3	eV/cell
calculated density	8.601	g/cm3
total magnetization	0.078	Bohr magnetons per cell
space group	No. 216
offset from the most stable computed form	0.000	eV per atom

# 10
Below is a relaxed TaCuSnW crystal, with properties calculated at the GGA-PBE level. Values from VASP.

```
&SYSTEM
  ibrav = 0, nat = 4, ntyp = 4
/
ATOMIC_SPECIES
W 183.84 W.upf
Cu 63.55 Cu.upf
Ta 180.95 Ta.upf
Sn 118.71 Sn.upf
ATOMIC_POSITIONS crystal
W 0.2500 0.2500 0.2500
Cu 0.7500 0.7500 0.7500
Ta 0.5000 0.5000 0.5000
Sn 0.0000 0.0000 0.0000
CELL_PARAMETERS angstrom
0.2838 -3.3826 -3.0801
-1.1266 -4.2813 1.1875
-3.8196 -1.9102 -1.6647
```

crystal system	cubic
E_tot	-31.0	eV/cell
calculated density	13.341	g/cm3
total magnetization	0.006	Bohr magnetons per cell
space group	No. 216
offset from the most stable computed form	0.000	eV per atom

# 11
Below is a relaxed Zn2Si2AsN3 crystal, with properties calculated at the GGA-PBE level. Values from VASP.

```
&SYSTEM
  ibrav = 0, nat = 8, ntyp = 4
/
ATOMIC_SPECIES
N 14.01 N.upf
Zn 65.41 Zn.upf
As 74.92 As.upf
Si 28.09 Si.upf
ATOMIC_POSITIONS crystal
N 0.3892 0.1066 0.6769
N 0.8934 0.6108 0.3231
N 0.5766 0.4234 0.5000
Zn 0.6976 0.0197 0.1490
Zn 0.9803 0.3024 0.8510
As 0.1497 0.8503 0.0000
Si 0.2667 0.4535 0.5815
Si 0.5465 0.7333 0.4185
CELL_PARAMETERS angstrom
-3.7373 -1.6432 -3.5127
-3.2291 -4.2930 0.3861
-1.4679 3.8556 2.8118
```

crystal system	monoclinic
E_tot	-46.3	eV/cell
calculated density	4.921	g/cm3
space group	No. 5

What is the calculated density in the eleventh record? 4.921 g/cm3

Which value of calculated density does entry 6 give? 12.563 g/cm3

E_tot of number 8 (Ni15Sn)? -173.5 eV/cell

Repeat the tenth record exactly.
Below is a relaxed TaCuSnW crystal, with properties calculated at the GGA-PBE level. Values from VASP.

```
&SYSTEM
  ibrav = 0, nat = 4, ntyp = 4
/
ATOMIC_SPECIES
W 183.84 W.upf
Cu 63.55 Cu.upf
Ta 180.95 Ta.upf
Sn 118.71 Sn.upf
ATOMIC_POSITIONS crystal
W 0.2500 0.2500 0.2500
Cu 0.7500 0.7500 0.7500
Ta 0.5000 0.5000 0.5000
Sn 0.0000 0.0000 0.0000
CELL_PARAMETERS angstrom
0.2838 -3.3826 -3.0801
-1.1266 -4.2813 1.1875
-3.8196 -1.9102 -1.6647
```

crystal system	cubic
E_tot	-31.0	eV/cell
calculated density	13.341	g/cm3
total magnetization	0.006	Bohr magnetons per cell
space group	No. 216
offset from the most stable computed form	0.000	eV per atom